# meta-GGA SCAN Gd2CuO4, PBEsol geometry
# * theoretical density: 8.33 Mg/m³
# * formation energy from raw total energies: -1945 kJ/mol of formula units
data_Gd2CuO4
_symmetry_space_group_name_H-M 'P 1'
_symmetry_Int_Tables_number 1
_symmetry_space_group_name_Hall 'P 1'
_cell_length_a 6.518
_cell_length_b 5.451
_cell_length_c 5.457
_cell_angle_alpha 90.00
_cell_angle_beta 114.62
_cell_angle_gamma 90.00
loop_
_atom_site_label
_atom_site_type_symbol
_atom_site_fract_x
_atom_site_fract_y
_atom_site_fract_z
Gd1 Gd 0.198 0.000 0.349
Gd2 Gd 0.198 0.500 0.849
Gd3 Gd 0.802 0.000 0.651
Gd4 Gd 0.802 0.500 0.151
Cu1 Cu 0.500 0.000 0.000
Cu2 Cu 0.500 0.500 0.500
O1 O 0.000 0.250 0.006
O2 O 0.000 0.250 0.506
O3 O 0.000 0.750 0.494
O4 O 0.000 0.750 0.994
O5 O 0.499 0.224 0.724
O6 O 0.499 0.276 0.224
O7 O 0.501 0.724 0.776
O8 O 0.501 0.776 0.276

# meta-GGA SCAN La2YTl, PBEsol geometry
# * theoretical density: 8.14 Mg/m³
# * formation energy from the elements: -1.181 eV/f.u.
# * offset from the most stable computed form: 0.051 eV/atom
data_La2YTl
_symmetry_space_group_name_H-M 'P 1'
_symmetry_Int_Tables_number 1
_symmetry_space_group_name_Hall 'P 1'
_cell_length_a 3.569
_cell_length_b 4.591
_cell_length_c 7.114
_cell_angle_alpha 90.00
_cell_angle_beta 90.00
_cell_angle_gamma 90.00
loop_
_atom_site_label
_atom_site_type_symbol
_atom_site_fract_x
_atom_site_fract_y
_atom_site_fract_z
La1 La 0.000 0.000 0.000
La2 La 0.500 0.500 0.237
Y1 Y 0.500 0.500 0.709
Tl1 Tl 0.000 0.000 0.498

# meta-GGA SCAN ZrNi4Ag, PBEsol geometry
# * theoretical density: 9.41 Mg/m³
# * formation energy from the elements: -2.023 eV/f.u.
data_ZrNi4Ag
_symmetry_space_group_name_H-M 'P 1'
_symmetry_Int_Tables_number 1
_symmetry_space_group_name_Hall 'P 1'
_cell_length_a 4.766
_cell_length_b 4.766
_cell_length_c 4.766
_cell_angle_alpha 60.00
_cell_angle_beta 60.00
_cell_angle_gamma 60.00
loop_
_atom_site_label
_atom_site_type_symbol
_atom_site_fract_x
_atom_site_fract_y
_atom_site_fract_z
Zr1 Zr 0.000 0.000 0.000
Ni1 Ni 0.127 0.624 0.624
Ni2 Ni 0.624 0.127 0.624
Ni3 Ni 0.624 0.624 0.127
Ni4 Ni 0.624 0.624 0.624
Ag1 Ag 0.250 0.250 0.250

# meta-GGA SCAN MnRhPb, PBEsol geometry
# * theoretical density: 11.27 Mg/m³
# * formation energy from the elements: 0.272 eV/f.u.
data_MnRhPb
_symmetry_space_group_name_H-M 'P 1'
_symmetry_Int_Tables_number 1
_symmetry_space_group_name_Hall 'P 1'
_cell_length_a 3.153
_cell_length_b 3.153
_cell_length_c 6.250
_cell_angle_alpha 90.00
_cell_angle_beta 90.00
_cell_angle_gamma 120.00
loop_
_atom_site_label
_atom_site_type_symbol
_atom_site_fract_x
_atom_site_fract_y
_atom_site_fract_z
Mn1 Mn 0.000 0.000 0.000
Rh1 Rh 0.667 0.333 0.281
Pb1 Pb 0.333 0.667 0.627

# meta-GGA SCAN CoMo2Ir, PBEsol geometry
# * theoretical density: 13.49 Mg/m³
# * formation energy from the elements: -0.339 eV/f.u.
# * offset from the most stable computed form: 0.034 eV/atom
data_CoMo2Ir
_symmetry_space_group_name_H-M 'P 1'
_symmetry_Int_Tables_number 1
_symmetry_space_group_name_Hall 'P 1'
_cell_length_a 4.643
_cell_length_b 4.643
_cell_length_c 2.692
_cell_angle_alpha 90.00
_cell_angle_beta 90.00
_cell_angle_gamma 109.99
loop_
_atom_site_label
_atom_site_type_symbol
_atom_site_fract_x
_atom_site_fract_y
_atom_site_fract_z
Co1 Co 0.000 0.000 0.000
Mo1 Mo 0.000 0.500 0.500
Mo2 Mo 0.500 0.000 0.500
Ir1 Ir 0.500 0.500 0.000

# meta-GGA SCAN ScOs2Cl, PBEsol geometry
# * theoretical density: 12.72 Mg/m³
# * offset from the most stable computed form: 0.684 eV/atom
# * formation energy from raw total energies: 325 kJ/mol of formula units
data_ScOs2Cl
_symmetry_space_group_name_H-M 'P 1'
_symmetry_Int_Tables_number 1
_symmetry_space_group_name_Hall 'P 1'
_cell_length_a 4.372
_cell_length_b 4.372
_cell_length_c 3.148
_cell_angle_alpha 90.00
_cell_angle_beta 90.00
_cell_angle_gamma 90.00
loop_
_atom_site_label
_atom_site_type_symbol
_atom_site_fract_x
_atom_site_fract_y
_atom_site_fract_z
Sc1 Sc 0.000 0.000 0.000
Os1 Os 0.000 0.500 0.500
Os2 Os 0.500 0.000 0.500
Cl1 Cl 0.500 0.500 0.000

# meta-GGA SCAN InMo2As, PBEsol geometry
# * theoretical density: 9.20 Mg/m³
# * formation energy from the elements: 1.070 eV/f.u.
# * offset from the most stable computed form: 0.021 eV/atom
data_InMo2As
_symmetry_space_group_name_H-M 'P 1'
_symmetry_Int_Tables_number 1
_symmetry_space_group_name_Hall 'P 1'
_cell_length_a 3.034
_cell_length_b 4.566
_cell_length_c 5.201
_cell_angle_alpha 90.00
_cell_angle_beta 107.00
_cell_angle_gamma 90.00
loop_
_atom_site_label
_atom_site_type_symbol
_atom_site_fract_x
_atom_site_fract_y
_atom_site_fract_z
In1 In 0.000 0.000 0.000
Mo1 Mo 0.265 0.000 0.526
Mo2 Mo 0.656 0.500 0.316
As1 As 0.364 0.500 0.730

# meta-GGA SCAN HgTeIr2, PBEsol geometry
# * theoretical density: 15.08 Mg/m³
# * offset from the most stable computed form: 0.000 eV/atom
# * formation energy from raw total energies: 194 kJ/mol of formula units
data_HgTeIr2
_symmetry_space_group_name_H-M 'P 1'
_symmetry_Int_Tables_number 1
_symmetry_space_group_name_Hall 'P 1'
_cell_length_a 6.221
_cell_length_b 6.221
_cell_length_c 4.561
_cell_angle_alpha 104.76
_cell_angle_beta 104.76
_cell_angle_gamma 27.44
loop_
_atom_site_label
_atom_site_type_symbol
_atom_site_fract_x
_atom_site_fract_y
_atom_site_fract_z
Hg1 Hg 0.000 0.000 0.000
Te1 Te 0.232 0.232 0.702
Ir1 Ir 0.539 0.539 0.526
Ir2 Ir 0.846 0.846 0.390

# meta-GGA SCAN CoB3O, PBEsol geometry
# * theoretical density: 3.54 Mg/m³
# * formation energy from raw total energies: 562 kJ/mol of formula units
data_CoB3O
_symmetry_space_group_name_H-M 'P 1'
_symmetry_Int_Tables_number 1
_symmetry_space_group_name_Hall 'P 1'
_cell_length_a 3.692
_cell_length_b 3.692
_cell_length_c 3.692
_cell_angle_alpha 90.00
_cell_angle_beta 90.00
_cell_angle_gamma 90.00
loop_
_atom_site_label
_atom_site_type_symbol
_atom_site_fract_x
_atom_site_fract_y
_atom_site_fract_z
Co1 Co 0.000 0.000 0.000
B1 B 0.000 0.000 0.500
B2 B 0.000 0.500 0.000
B3 B 0.500 0.000 0.000
O1 O 0.500 0.500 0.500

# meta-GGA SCAN LiAlF3, PBEsol geometry
# * theoretical density: 3.16 Mg/m³
# * formation energy from raw total energies: -1082 kJ/mol of formula units
data_LiAlF3
_symmetry_space_group_name_H-M 'P 1'
_symmetry_Int_Tables_number 1
_symmetry_space_group_name_Hall 'P 1'
_cell_length_a 3.628
_cell_length_b 3.628
_cell_length_c 3.628
_cell_angle_alpha 90.00
_cell_angle_beta 90.00
_cell_angle_gamma 90.00
loop_
_atom_site_label
_atom_site_type_symbol
_atom_site_fract_x
_atom_site_fract_y
_atom_site_fract_z
Li1 Li 0.000 0.000 0.000
Al1 Al 0.500 0.500 0.500
F1 F 0.000 0.000 0.500
F2 F 0.000 0.500 0.000
F3 F 0.500 0.000 0.000

# meta-GGA SCAN ReAgRh2, PBEsol geometry
# * theoretical density: 14.11 Mg/m³
# * formation energy from the elements: 1.426 eV/f.u.
# * offset from the most stable computed form: 0.082 eV/atom
data_ReAgRh2
_symmetry_space_group_name_H-M 'P 1'
_symmetry_Int_Tables_number 1
_symmetry_space_group_name_Hall 'P 1'
_cell_length_a 2.668
_cell_length_b 2.668
_cell_length_c 9.377
_cell_angle_alpha 90.00
_cell_angle_beta 90.00
_cell_angle_gamma 118.22
loop_
_atom_site_label
_atom_site_type_symbol
_atom_site_fract_x
_atom_site_fract_y
_atom_site_fract_z
Re1 Re 0.000 0.000 0.000
Ag1 Ag 0.500 0.500 0.267
Rh1 Rh 0.000 0.000 0.522
Rh2 Rh 0.500 0.500 0.765

# meta-GGA SCAN TbFe2B2, PBEsol geometry
# * theoretical density: 8.20 Mg/m³
# * formation energy from the elements: -1.950 eV/f.u.
data_TbFe2B2
_symmetry_space_group_name_H-M 'P 1'
_symmetry_Int_Tables_number 1
_symmetry_space_group_name_Hall 'P 1'
_cell_length_a 5.286
_cell_length_b 5.286
_cell_length_c 5.286
_cell_angle_alpha 140.52
_cell_angle_beta 140.52
_cell_angle_gamma 57.06
loop_
_atom_site_label
_atom_site_type_symbol
_atom_site_fract_x
_atom_site_fract_y
_atom_site_fract_z
Tb1 Tb 0.000 0.000 0.000
Fe1 Fe 0.250 0.750 0.500
Fe2 Fe 0.750 0.250 0.500
B1 B 0.342 0.342 0.000
B2 B 0.658 0.658 0.000

# meta-GGA SCAN CoRe2Rh, PBEsol geometry
# * theoretical density: 16.94 Mg/m³
# * formation energy from the elements: -0.193 eV/f.u.
# * offset from the most stable computed form: 0.000 eV/atom
data_CoRe2Rh
_symmetry_space_group_name_H-M 'P 1'
_symmetry_Int_Tables_number 1
_symmetry_space_group_name_Hall 'P 1'
_cell_length_a 2.647
_cell_length_b 4.239
_cell_length_c 4.669
_cell_angle_alpha 90.00
_cell_angle_beta 90.00
_cell_angle_gamma 90.00
loop_
_atom_site_label
_atom_site_type_symbol
_atom_site_fract_x
_atom_site_fract_y
_atom_site_fract_z
Co1 Co 0.000 0.000 0.000
Re1 Re 0.500 0.000 0.508
Re2 Re 0.500 0.500 0.839
Rh1 Rh 0.000 0.500 0.323

Number 1: spin magnetization 14.0 μB per formula unit. Number 2: spin magnetization 0.0 μB per formula unit. Number 3: spin magnetization 0.0 μB per formula unit. Number 4: spin magnetization 4.5 μB per formula unit. Number 5: spin magnetization 0.0 μB per formula unit. Number 6: spin magnetization 0.0 μB per formula unit. Number 7: spin magnetization 0.0 μB per formula unit. Number 8: spin magnetization 0.0 μB per formula unit. Number 9: spin magnetization 1.8 μB per formula unit. Number 10: spin magnetization 0.7 μB per formula unit. Number 11: spin magnetization 0.0 μB per formula unit. Number 12: spin magnetization 1.8 μB per formula unit. Number 13: spin magnetization 0.0 μB per formula unit.